# 1
Below is a geometry-optimized Ac2Pr6In3 structure, with properties calculated at the GGA-PBE level.

For the formation energy, the calculation gives -66 meV per atom. Its final energy is -91.67 eV/cell. The calculated volume is 406.6 Å³/f.u. The crystal system is tetragonal.

The space group is I4/mmm (No. 139) and the conventional cell measures 4.694, 4.694 and 36.909 Å, with angles of 90.00, 90.00 and 90.00 degrees. The inequivalent atoms are Ac at (0.000, 0.000, 0.046), Pr at (0.000, 0.000, 0.216), Pr at (0.000, 0.500, 0.134), In at (0.000, 0.000, 0.304) and In at (0.000, 0.000, 0.500).

=====

# 2
Below is a geometry-optimized VIn2I8 structure, with properties calculated at the GGA-PBE level.

Its final energy is -64.37 eV/cell. The calculated volume is 539.9 Å³/f.u. The crystal system is monoclinic. For the energy relative to the elements, uncorrected, the calculation gives -0.472 eV per atom.

The space group is C2/m (No. 12) and the conventional cell measures 13.629, 11.163 and 7.160 Å, with angles of 90.00, 97.51 and 90.00 degrees. The inequivalent atoms are V at (0.000, 0.000, 0.000), In at (0.192, 0.000, 0.638), I at (0.081, 0.181, 0.786), I at (0.113, 0.500, 0.227) and I at (0.185, 0.000, 0.245).